Entry 1:
Compound: HgW2Cl
Source: Alexandria
Functional: PBE-GGA
Structure: optimized geometry

a b c (Å): 3.030 4.385 6.413
angles (deg): 90.00 90.00 90.00
Fractional positions:
Hg 0.000 0.000 0.000
W 0.500 0.500 0.180
W 0.500 0.500 0.820
Cl 0.000 0.000 0.500

Computed properties:
Electronic total energy (eV/atom): -5.707
Space-group type: No. 47
N(E_F) (states/eV/atom): 0.893


Entry 2:
Compound: Hg2W2Cl
Source: Alexandria
Functional: PBE-GGA
Structure: optimized geometry

a b c (Å): 7.075 7.075 7.075
angles (deg): 146.46 146.46 48.16
Fractional positions:
Hg 0.250 0.750 0.500
Hg 0.750 0.250 0.500
W 0.090 0.090 0.000
W 0.910 0.910 0.000
Cl 0.500 0.500 0.000

Computed properties:
Electronic total energy (eV/atom): -4.277
Space-group type: No. 139
N(E_F) (states/eV/atom): 0.800


Entry 3:
Compound: HgW2Cl8
Source: Alexandria
Functional: PBE-GGA
Structure: optimized geometry

a b c (Å): 7.980 7.980 9.664
angles (deg): 109.72 109.72 56.14
Fractional positions:
Hg 0.000 0.000 0.000
W 0.212 0.212 0.694
W 0.788 0.788 0.306
Cl 0.098 0.612 0.241
Cl 0.168 0.168 0.444
Cl 0.384 0.384 0.811
Cl 0.388 0.902 0.759
Cl 0.612 0.098 0.241
Cl 0.616 0.616 0.189
Cl 0.832 0.832 0.556
Cl 0.902 0.388 0.759

Computed properties:
Electronic total energy (eV/atom): -4.306
Space-group type: No. 12


Entry 4:
Compound: HgWCl2
Source: Alexandria
Functional: PBE-GGA
Structure: optimized geometry

a b c (Å): 5.238 5.238 3.075
angles (deg): 90.00 90.00 109.95
Fractional positions:
Hg 0.000 0.000 0.000
W 0.500 0.500 0.000
Cl 0.000 0.500 0.500
Cl 0.500 0.000 0.500

Computed properties:
Electronic total energy (eV/atom): -3.303
Space-group type: No. 65
N(E_F) (states/eV/atom): 0.667


Entry 5:
Compound: HgW2Cl
Source: Alexandria
Functional: PBE-GGA
Structure: optimized geometry

a b c (Å): 4.717 4.717 4.717
angles (deg): 121.86 121.86 86.81
Fractional positions:
Hg 0.000 0.000 0.000
W 0.250 0.750 0.500
W 0.500 0.500 0.000
Cl 0.750 0.250 0.500

Computed properties:
Electronic total energy (eV/atom): -5.768
Space-group type: No. 119
N(E_F) (states/eV/atom): 0.490


Entry 6:
Compound: HgW2Cl
Source: Alexandria
Functional: PBE-GGA
Structure: optimized geometry

a b c (Å): 2.915 4.481 5.787
angles (deg): 90.00 104.48 90.00
Fractional positions:
Hg 0.000 0.000 0.000
W 0.257 0.000 0.508
W 0.665 0.500 0.328
Cl 0.339 0.500 0.682

Computed properties:
Electronic total energy (eV/atom): -6.217
Space-group type: No. 6
N(E_F) (states/eV/atom): 0.949


Entry 7:
Compound: HgWCl2
Source: Alexandria
Functional: PBE-GGA
Structure: optimized geometry

a b c (Å): 7.715 7.715 7.715
angles (deg): 157.75 145.94 41.06
Fractional positions:
Hg 0.000 0.000 0.000
W 0.177 0.677 0.500
Cl 0.308 0.308 0.000
Cl 0.658 0.158 0.500

Computed properties:
Electronic total energy (eV/atom): -3.925
Space-group type: No. 44
N(E_F) (states/eV/atom): 0.781


Entry 8:
Compound: HgWCl2
Source: Alexandria
Functional: PBE-GGA
Structure: optimized geometry

a b c (Å): 3.300 3.300 10.988
angles (deg): 90.00 90.00 126.63
Fractional positions:
Hg 0.000 0.000 0.000
W 0.000 0.000 0.500
Cl 0.500 0.500 0.323
Cl 0.500 0.500 0.677

Computed properties:
Electronic total energy (eV/atom): -4.241
Space-group type: No. 65
N(E_F) (states/eV/atom): 0.410


Entry 9:
Compound: Hg2WCl
Source: Alexandria
Functional: PBE-GGA
Structure: optimized geometry

a b c (Å): 2.978 2.978 10.065
angles (deg): 90.00 90.00 90.00
Fractional positions:
Hg 0.000 0.000 0.000
Hg 0.500 0.500 0.284
W 0.000 0.000 0.496
Cl 0.500 0.500 0.642

Computed properties:
Electronic total energy (eV/atom): -3.368
Space-group type: No. 99
N(E_F) (states/eV/atom): 0.879


Entry 10:
Compound: HgWCl2
Source: Alexandria
Functional: PBE-GGA
Structure: optimized geometry

a b c (Å): 5.628 5.628 5.628
angles (deg): 135.73 135.73 64.39
Fractional positions:
Hg 0.000 0.000 0.000
W 0.250 0.750 0.500
Cl 0.500 0.500 0.000
Cl 0.750 0.250 0.500

Computed properties:
Electronic total energy (eV/atom): -3.282
Space-group type: No. 119
N(E_F) (states/eV/atom): 0.244


Entry 11:
Compound: HgWCl4
Source: Alexandria
Functional: PBE-GGA
Structure: optimized geometry

a b c (Å): 5.823 5.823 5.823
angles (deg): 60.00 60.00 60.00
Fractional positions:
Hg 0.000 0.000 0.000
W 0.750 0.750 0.750
Cl 0.375 0.375 0.375
Cl 0.375 0.375 0.874
Cl 0.375 0.874 0.375
Cl 0.874 0.375 0.375

Computed properties:
Electronic total energy (eV/atom): -2.224
Space-group type: No. 216
N(E_F) (states/eV/atom): 0.915


Entry 12:
Compound: HgW2Cl
Source: Alexandria
Functional: PBE-GGA
Structure: optimized geometry

a b c (Å): 2.813 4.966 5.202
angles (deg): 90.00 90.00 90.00
Fractional positions:
Hg 0.000 0.000 0.000
W 0.000 0.500 0.500
W 0.500 0.500 0.000
Cl 0.500 0.000 0.500

Computed properties:
Electronic total energy (eV/atom): -5.977
Space-group type: No. 47
N(E_F) (states/eV/atom): 0.819


Entry 13:
Compound: HgW2Cl
Source: Alexandria
Functional: PBE-GGA
Structure: optimized geometry

a b c (Å): 3.009 3.009 9.590
angles (deg): 90.00 90.00 124.66
Fractional positions:
Hg 0.000 0.000 0.000
W 0.500 0.500 0.266
W 0.500 0.500 0.734
Cl 0.000 0.000 0.500

Computed properties:
Electronic total energy (eV/atom): -6.078
Space-group type: No. 65
N(E_F) (states/eV/atom): 0.631


Entry 14:
Compound: HgW2Cl
Source: Alexandria
Functional: PBE-GGA
Structure: optimized geometry

a b c (Å): 9.247 9.247 9.247
angles (deg): 18.26 18.26 18.26
Fractional positions:
Hg 0.000 0.000 0.000
W 0.244 0.244 0.244
W 0.756 0.756 0.756
Cl 0.500 0.500 0.500

Computed properties:
Electronic total energy (eV/atom): -6.139
Space-group type: No. 166
N(E_F) (states/eV/atom): 0.986


Entry 15:
Compound: HgWCl2
Source: Alexandria
Functional: PBE-GGA
Structure: optimized geometry

a b c (Å): 5.553 5.553 2.972
angles (deg): 100.95 100.95 114.33
Fractional positions:
Hg 0.000 0.000 0.000
W 0.500 0.500 0.000
Cl 0.000 0.500 0.000
Cl 0.500 0.000 0.000

Computed properties:
Electronic total energy (eV/atom): -3.481
Space-group type: No. 12
N(E_F) (states/eV/atom): 0.689